Entry 1:
Material: MnHgRh2
Method: DFT, PBE-GGA
State: relaxed

a = 3.7332 Å, b = 4.0972 Å, c = 4.0972 Å
α = 90.00°, β = 90.00°, γ = 90.00°
Last column: magnetic moment on the atom in μB.
Positions (direct):
Hg1 0.5000 0.5000 0.0000  0.00
Mn1 0.5000 0.0000 0.5000  3.63
Rh1 0.0000 0.5000 0.5000  0.00
Rh2 0.0000 0.0000 0.0000  0.00

Values from the calculation:
**Density**: 12.22 g cm⁻³
**SG**: P4/mmm (123)
**Crystal system**: tetragonal
**D(E_F)**: 5.2 states/eV/cell
**Spin magnetization**: 3.746 μB per formula unit
**Energy of formation**: 0.059 eV/atom

***

Entry 2:
Material: MnHg3Rh
Method: DFT, PBE-GGA
State: relaxed

a = 5.2089 Å, b = 5.2089 Å, c = 5.2089 Å
α = 90.00°, β = 90.00°, γ = 90.00°
Last column: magnetic moment on the atom in μB.
Positions (direct):
Rh1 0.0000 0.0000 0.0000  0.13
Hg1 0.0000 0.0000 0.5000  0.00
Hg2 0.0000 0.5000 0.0000  -0.01
Hg3 0.5000 0.0000 0.0000  0.04
Mn1 0.5000 0.5000 0.5000  4.57

Values from the calculation:
**Density**: 8.93 g cm⁻³
**SG**: Pm-3m (221)
**Crystal system**: cubic
**D(E_F)**: 3.5 states/eV/cell
**Spin magnetization**: 5.286 μB per formula unit
**Energy of formation**: 0.652 eV/atom
**ΔE to the lowest computed polymorph**: 0.0 meV per atom